No. 1
SCAN CdGa2Bi, PBEsol geometry; E_form = 0.198 eV/atom
1.0
0.000 3.586 3.586
3.586 0.000 3.586
3.586 3.586 0.000
Cd Ga Bi
1 2 1
Direct
0.000 0.000 0.000
0.250 0.250 0.250
0.750 0.750 0.750
0.500 0.500 0.500

***

No. 2
SCAN YAgAs2, PBEsol geometry; E_form = -0.585 eV/atom
1.0
-2.009 2.019 4.825
2.009 -2.019 4.825
2.009 2.019 -4.825
Y Ag As
1 1 2
Direct
0.000 0.000 0.000
0.251 0.751 0.500
0.499 0.499 0.000
0.749 0.249 0.500

***

No. 3
SCAN Hf2BePt2, PBEsol geometry; E_form = -0.233 eV/atom
1.0
-1.830 1.830 7.005
1.830 -1.830 7.005
1.830 1.830 -7.005
Hf Be Pt
2 1 2
Direct
0.106 0.106 0.000
0.894 0.894 0.000
0.500 0.500 0.000
0.250 0.750 0.500
0.750 0.250 0.500

***

No. 4
SCAN LiSi2, PBEsol geometry; E_form (uncorrected) = 8.4 kJ per mole of atoms
1.0
3.791 0.000 0.000
-1.896 3.283 0.000
0.000 0.000 4.291
Li Si
1 2
Direct
0.000 0.000 0.000
0.333 0.667 0.407
0.667 0.333 0.593